(1)
{"formula": "LaAl4Pd2Rh", "functional": "PBE", "state": "relaxed", "e_tot_ev_per_cell": -44.221, "mass_density_g_cm3": 6.4, "space_group": "R-3m, No. 166", "cell": [[4.2742, 0.0000, 0.0000], [2.1371, 3.7016, 0.0000], [2.1371, 1.2339, 9.1918]], "species": ["La", "Al", "Al", "Al", "Al", "Pd", "Pd", "Rh"], "fractional_positions": [[0.0000, 0.0000, 0.0000], [0.4073, 0.4073, 0.7780], [0.8653, 0.8653, 0.4041], [0.1347, 0.1347, 0.5959], [0.5927, 0.5927, 0.2220], [0.7691, 0.7691, 0.6928], [0.2309, 0.2309, 0.3072], [0.5000, 0.5000, 0.5000]]}

---

(2)
{"formula": "La2Al5Pd2Rh", "functional": "PBE", "state": "relaxed", "e_tot_ev_per_cell": -105.252, "mass_density_g_cm3": 6.4, "space_group": "P4/mbm, No. 127", "cell": [[-2.3117, 0.4113, 1.9458], [2.0140, -9.9461, 4.4951], [6.9527, 4.6926, 7.2681]], "species": ["La", "La", "La", "La", "Al", "Al", "Al", "Al", "Al", "Al", "Al", "Al", "Al", "Al", "Pd", "Pd", "Pd", "Pd", "Rh", "Rh"], "fractional_positions": [[0.0000, 0.6761, 0.1761], [0.0000, 0.3239, 0.8239], [0.0000, 0.1761, 0.3239], [0.0000, 0.8239, 0.6761], [0.5000, 0.1838, 0.0555], [0.5000, 0.8162, 0.9445], [0.5000, 0.0555, 0.8162], [0.5000, 0.6838, 0.4445], [0.5000, 0.9445, 0.1838], [0.5000, 0.3162, 0.5555], [0.5000, 0.5555, 0.6838], [0.5000, 0.4445, 0.3162], [0.5000, 0.5000, 0.0000], [0.5000, 0.0000, 0.5000], [0.0000, 0.1325, 0.6325], [0.0000, 0.8675, 0.3675], [0.0000, 0.6325, 0.8675], [0.0000, 0.3675, 0.1325], [0.0000, 0.0000, 0.0000], [0.0000, 0.5000, 0.5000]]}

---

(3)
{"formula": "LaAl4Pd2Ru", "functional": "PBE", "state": "relaxed", "e_tot_ev_per_cell": -45.583, "mass_density_g_cm3": 6.4, "space_group": "R-3m, No. 166", "cell": [[4.2545, 0.0000, 0.0000], [2.1272, 3.6845, 0.0000], [2.1272, 1.2282, 9.2279]], "species": ["La", "Al", "Al", "Al", "Al", "Pd", "Pd", "Ru"], "fractional_positions": [[0.0000, 0.0000, 0.0000], [0.4081, 0.4081, 0.7758], [0.8641, 0.8641, 0.4078], [0.1359, 0.1359, 0.5922], [0.5919, 0.5919, 0.2242], [0.7680, 0.7680, 0.6961], [0.2320, 0.2320, 0.3039], [0.5000, 0.5000, 0.5000]]}

---

(4)
{"formula": "La2AlPdS5", "functional": "PBE", "state": "relaxed", "mass_density_g_cm3": 4.8, "space_group": "Cmc2_1, No. 36", "raw_formation_energy_ev_per_fu": -13.3, "cell": [[-2.1898, 1.0634, 3.0649], [7.7117, -2.4664, 3.8663], [3.9124, 10.7615, -0.9387]], "species": ["La", "La", "La", "La", "Al", "Al", "Pd", "Pd", "S", "S", "S", "S", "S", "S", "S", "S", "S", "S"], "fractional_positions": [[0.8764, 0.7527, 0.7972], [0.1219, 0.2438, 0.6804], [0.1236, 0.2473, 0.2972], [0.8781, 0.7562, 0.1804], [0.5738, 0.1477, 0.9522], [0.4262, 0.8523, 0.4522], [0.7596, 0.5192, 0.5645], [0.2404, 0.4808, 0.0645], [0.3673, 0.7347, 0.9871], [0.6840, 0.3680, 0.8519], [0.5048, 0.0097, 0.7804], [0.2948, 0.5895, 0.6595], [0.9593, 0.9187, 0.5506], [0.6327, 0.2653, 0.4871], [0.3160, 0.6320, 0.3519], [0.4952, 0.9903, 0.2804], [0.7052, 0.4105, 0.1595], [0.0407, 0.0813, 0.0506]]}

---

(5)
{"formula": "La3Al2SbPd9", "functional": "PBE", "state": "relaxed", "mass_density_g_cm3": 7.5, "space_group": "P-3m1, No. 164", "raw_formation_energy_ev_per_fu": -9.3, "cell": [[-4.3634, 1.5534, -4.7597], [-0.6498, -5.6833, 3.3742], [-5.1257, 4.1872, 6.0655]], "species": ["La", "La", "La", "Al", "Al", "Sb", "Pd", "Pd", "Pd", "Pd", "Pd", "Pd", "Pd", "Pd", "Pd"], "fractional_positions": [[0.3333, 0.6667, 0.7224], [0.0000, 0.0000, 0.0000], [0.6667, 0.3333, 0.2776], [0.3333, 0.6667, 0.1750], [0.6667, 0.3333, 0.8250], [0.0000, 0.0000, 0.5000], [0.8578, 0.1422, 0.7311], [0.8578, 0.7156, 0.7311], [0.2844, 0.1422, 0.7311], [0.7156, 0.8578, 0.2689], [0.1422, 0.2844, 0.2689], [0.1422, 0.8578, 0.2689], [0.5000, 0.0000, 0.0000], [0.0000, 0.5000, 0.0000], [0.5000, 0.5000, 0.0000]]}

---

(6)
{"formula": "La2ScAl3Pd4", "functional": "PBE", "state": "relaxed", "e_tot_ev_per_cell": -56.619, "mass_density_g_cm3": 6.7, "space_group": "P-4m2, No. 115", "cell": [[4.3781, 0.0000, 0.0000], [0.0000, 4.3781, 0.0000], [0.0000, 0.0000, 10.7849]], "species": ["La", "La", "Sc", "Al", "Al", "Al", "Pd", "Pd", "Pd", "Pd"], "fractional_positions": [[0.5000, 0.0000, 0.2386], [0.0000, 0.5000, 0.7614], [0.5000, 0.5000, 0.5000], [0.0000, 0.0000, 0.5000], [0.5000, 0.0000, 0.8810], [0.0000, 0.5000, 0.1190], [0.5000, 0.5000, 0.0000], [0.0000, 0.0000, 0.0000], [0.5000, 0.0000, 0.6448], [0.0000, 0.5000, 0.3552]]}

---

(7)
{"formula": "La2ScAl12Pd3", "functional": "PBE", "state": "relaxed", "e_tot_ev_per_cell": -82.035, "mass_density_g_cm3": 4.3, "space_group": "R-3m, No. 166", "cell": [[10.1529, 2.0771, 1.4733], [6.8202, 7.8026, 1.4733], [6.8202, 3.9699, 6.8769]], "species": ["La", "La", "Sc", "Al", "Al", "Al", "Al", "Al", "Al", "Al", "Al", "Al", "Al", "Al", "Al", "Pd", "Pd", "Pd"], "fractional_positions": [[0.6425, 0.6425, 0.6425], [0.3575, 0.3575, 0.3575], [0.0000, 0.0000, 0.0000], [0.3197, 0.3197, 0.7280], [0.8773, 0.8773, 0.4581], [0.4581, 0.8773, 0.8773], [0.7280, 0.3197, 0.3197], [0.8773, 0.4581, 0.8773], [0.3197, 0.7280, 0.3197], [0.6803, 0.6803, 0.2720], [0.1227, 0.1227, 0.5419], [0.5419, 0.1227, 0.1227], [0.2720, 0.6803, 0.6803], [0.1227, 0.5419, 0.1227], [0.6803, 0.2720, 0.6803], [0.5000, 0.0000, 0.0000], [0.0000, 0.5000, 0.0000], [0.0000, 0.0000, 0.5000]]}

---

(8)
{"formula": "La2AlPdSe5", "functional": "PBE", "state": "relaxed", "mass_density_g_cm3": 6.0, "space_group": "Cmc2_1, No. 36", "raw_formation_energy_ev_per_fu": -11.9, "cell": [[-1.1431, 1.1572, -3.7547], [-7.6329, -4.3774, 3.2044], [-4.0840, 10.3716, 4.4400]], "species": ["La", "La", "La", "La", "Al", "Al", "Pd", "Pd", "Se", "Se", "Se", "Se", "Se", "Se", "Se", "Se", "Se", "Se"], "fractional_positions": [[0.8781, 0.7563, 0.7952], [0.1237, 0.2474, 0.6790], [0.1219, 0.2437, 0.2952], [0.8763, 0.7526, 0.1790], [0.5788, 0.1576, 0.9551], [0.4212, 0.8424, 0.4551], [0.7558, 0.5116, 0.5669], [0.2442, 0.4884, 0.0669], [0.3693, 0.7387, 0.9858], [0.6891, 0.3782, 0.8482], [0.5073, 0.0147, 0.7803], [0.2978, 0.5955, 0.6579], [0.9597, 0.9194, 0.5557], [0.6307, 0.2613, 0.4858], [0.3109, 0.6218, 0.3482], [0.4927, 0.9853, 0.2803], [0.7022, 0.4045, 0.1579], [0.0403, 0.0806, 0.0557]]}

---

Number 5 is which compound?
La3Al2SbPd9